! PuThNb | OQMD via LeMat-Bulk | PBE-GGA | optimized geometry; values from VASP
&SYSTEM
  ibrav = 0, nat = 3, ntyp = 3
/
ATOMIC_SPECIES
Nb 92.91 Nb.upf
Pu 244.00 Pu.upf
Th 232.04 Th.upf
CELL_PARAMETERS angstrom
0.0000 3.4805 3.4805
3.4805 0.0000 3.4805
3.4805 3.4805 0.0000
ATOMIC_POSITIONS crystal
Nb 0.0000 0.0000 0.0000
Pu 0.2500 0.2500 0.2500
Th 0.7500 0.7500 0.7500
! Polymorph energy (0 for the lowest one) = 0.0000 eV per atom
! Energy = -9.931 eV per atom
! V = 28.1 Å³ per atom
! Density = 11.20 g/cm3
! Space-group type = F-43m
! Formation enthalpy at 0 K = 0.614 eV per atom

! TmPuNb | OQMD via LeMat-Bulk | PBE-GGA | optimized geometry; values from VASP
&SYSTEM
  ibrav = 0, nat = 3, ntyp = 3
/
ATOMIC_SPECIES
Nb 92.91 Nb.upf
Pu 244.00 Pu.upf
Tm 168.93 Tm.upf
CELL_PARAMETERS angstrom
0.0000 3.4137 3.4137
3.4137 0.0000 3.4137
3.4137 3.4137 0.0000
ATOMIC_POSITIONS crystal
Nb 0.0000 0.0000 0.0000
Pu 0.2500 0.2500 0.2500
Tm 0.7500 0.7500 0.7500
! Polymorph energy (0 for the lowest one) = 0.0000 eV per atom
! Energy = -8.827 eV per atom
! V = 26.5 Å³ per atom
! Density = 10.56 g/cm3
! Space-group type = F-43m
! Formation enthalpy at 0 K = 0.738 eV per atom

! PuNbW | OQMD via LeMat-Bulk | PBE-GGA | optimized geometry; values from VASP
&SYSTEM
  ibrav = 0, nat = 3, ntyp = 3
/
ATOMIC_SPECIES
Nb 92.91 Nb.upf
Pu 244.00 Pu.upf
W 183.84 W.upf
CELL_PARAMETERS angstrom
2.2074 1.2744 3.6046
-2.2074 1.2744 3.6046
0.0000 -2.5489 3.6046
ATOMIC_POSITIONS crystal
Nb 0.7500 0.7500 0.7500
Pu 0.0000 0.0000 0.0000
W 0.2500 0.2500 0.2500
! Polymorph energy (0 for the lowest one) = 0.8412 eV per atom
! Energy = -10.880 eV per atom
! V = 20.3 Å³ per atom
! Density = 14.21 g/cm3
! Space-group type = F-43m
! Formation enthalpy at 0 K = 1.514 eV per atom

! PuNbW | OQMD via LeMat-Bulk | PBE-GGA | optimized geometry; values from VASP
&SYSTEM
  ibrav = 0, nat = 3, ntyp = 3
/
ATOMIC_SPECIES
Nb 92.91 Nb.upf
Pu 244.00 Pu.upf
W 183.84 W.upf
CELL_PARAMETERS angstrom
0.4795 -4.3549 0.8750
-2.1411 -1.8308 3.4677
-3.4026 -2.8081 -0.7053
ATOMIC_POSITIONS crystal
Nb 0.7500 0.7500 0.7500
Pu 0.2500 0.2500 0.2500
W 0.0000 0.0000 0.0000
! Polymorph energy (0 for the lowest one) = 0.0000 eV per atom
! Energy = -11.721 eV per atom
! V = 21.0 Å³ per atom
! Density = 13.71 g/cm3
! Space-group type = F-43m
! Formation enthalpy at 0 K = 0.672 eV per atom

! RbNb | OQMD via LeMat-Bulk | PBE-GGA | optimized geometry; values from VASP
&SYSTEM
  ibrav = 0, nat = 4, ntyp = 2
/
ATOMIC_SPECIES
Nb 92.91 Nb.upf
Rb 85.47 Rb.upf
CELL_PARAMETERS angstrom
6.6395 0.0000 0.0000
-3.3198 5.7500 0.0000
0.0000 0.0000 4.7210
ATOMIC_POSITIONS crystal
Nb 0.0000 0.0000 0.0000
Nb 0.0000 0.0000 0.5000
Rb 0.3333 0.6667 0.2500
Rb 0.6667 0.3333 0.7500
! Polymorph energy (0 for the lowest one) = 0.0000 eV per atom
! Energy = -4.011 eV per atom
! V = 45.1 Å³ per atom
! Density = 3.29 g/cm3
! Space-group type = P6_3/mmc

! Rb2Nb | OQMD via LeMat-Bulk | PBE-GGA | optimized geometry; values from VASP
&SYSTEM
  ibrav = 0, nat = 3, ntyp = 2
/
ATOMIC_SPECIES
Nb 92.91 Nb.upf
Rb 85.47 Rb.upf
CELL_PARAMETERS angstrom
3.2280 -5.0485 2.1587
0.6569 -0.9174 6.2686
-3.0964 -4.7740 2.8616
ATOMIC_POSITIONS crystal
Nb 0.0000 0.0000 0.0000
Rb 0.2500 0.2500 0.2500
Rb 0.7500 0.7500 0.7500
! Polymorph energy (0 for the lowest one) = 0.0000 eV per atom
! Energy = -2.380 eV per atom
! V = 60.9 Å³ per atom
! Density = 2.40 g/cm3
! Space-group type = Fm-3m

! RbNb | OQMD via LeMat-Bulk | PBE-GGA | optimized geometry; values from VASP
&SYSTEM
  ibrav = 0, nat = 2, ntyp = 2
/
ATOMIC_SPECIES
Nb 92.91 Nb.upf
Rb 85.47 Rb.upf
CELL_PARAMETERS angstrom
0.0000 3.7213 3.7213
3.7213 0.0000 3.7213
3.7213 3.7213 0.0000
ATOMIC_POSITIONS crystal
Nb 0.0000 0.0000 0.0000
Rb 0.5000 0.5000 0.5000
! Polymorph energy (0 for the lowest one) = 1.1353 eV per atom
! Energy = -2.876 eV per atom
! V = 51.5 Å³ per atom
! Density = 2.87 g/cm3
! Space-group type = Fm-3m

! RbNb8 | OQMD via LeMat-Bulk | PBE-GGA | optimized geometry; values from VASP
&SYSTEM
  ibrav = 0, nat = 18, ntyp = 2
/
ATOMIC_SPECIES
Nb 92.91 Nb.upf
Rb 85.47 Rb.upf
CELL_PARAMETERS angstrom
-6.0507 -5.8092 3.7866
-9.0037 -0.1123 0.3635
-2.8685 -4.8569 -4.5907
ATOMIC_POSITIONS crystal
Nb 0.9072 0.6696 0.0673
Nb 0.3428 0.5804 0.1827
Nb 0.7222 0.4630 0.2587
Nb 0.1827 0.8940 0.3428
Nb 0.6696 0.9072 0.3560
Nb 0.5561 0.2587 0.4630
Nb 0.9913 0.6939 0.5278
Nb 0.4630 0.7222 0.5561
Nb 0.8940 0.1827 0.5804
Nb 0.3560 0.0673 0.6696
Nb 0.7870 0.5278 0.6939
Nb 0.2587 0.5561 0.7222
Nb 0.6939 0.9913 0.7870
Nb 0.5804 0.3428 0.8940
Nb 0.0673 0.3560 0.9072
Nb 0.5278 0.7870 0.9913
Rb 0.0000 0.0000 0.0000
Rb 0.2500 0.2500 0.2500
! Energy = -8.055 eV per atom
! V = 22.0 Å³ per atom
! Density = 6.94 g/cm3
! Space-group type = Fddd